Entry 1:
# ScAlOs4

Crystalline ScAlOs4 at its relaxed geometry (PBE-GGA, the Alexandria database).

Results
Density of states at the Fermi level ... 7.06 states/eV/cell
Size of the total moment ... 0.000 μB/cell

Cell: 5.1772 5.1772 5.1772 Å, 60.00 60.00 60.00°
With the nearest neighbours (Å) after each atom.
Element x y z (fractional)
Sc  0.7500  0.7500  0.7500  12 Os 3.04, 4 Al 3.17
Al  0.0000  0.0000  0.0000  12 Os 3.03, 4 Sc 3.17
Os  0.8759  0.3747  0.3747  6 Os 2.58-2.59
Os  0.3747  0.3747  0.8759  6 Os 2.58-2.59
Os  0.3747  0.8759  0.3747  6 Os 2.58-2.59
Os  0.3747  0.3747  0.3747  6 Os 2.58-2.59

=====

Entry 2:
# Sc4AlOs

Crystalline Sc4AlOs at its relaxed geometry (PBE-GGA, the Alexandria database).

Results
Energy above the most stable polymorph in this dataset ... 4.47 eV per formula unit
Density of states at the Fermi level ... 7.24 states/eV/cell
Size of the total moment ... 0.000 μB/cell

Cell: 5.4756 5.4756 5.4756 Å, 60.00 60.00 60.00°
With the nearest neighbours (Å) after each atom.
Element x y z (fractional)
Sc  0.8810  0.3730  0.3730  6 Sc 2.69-2.78
Sc  0.3730  0.3730  0.8810  6 Sc 2.69-2.78
Sc  0.3730  0.8810  0.3730  6 Sc 2.69-2.78
Sc  0.3730  0.3730  0.3730  6 Sc 2.69-2.78
Al  0.7500  0.7500  0.7500  12 Sc 3.22, 4 Os 3.35
Os  0.0000  0.0000  0.0000  12 Sc 3.21, 4 Al 3.35

=====

Entry 3:
# ScAl3Os

Crystalline ScAl3Os at its relaxed geometry (PBE-GGA, the Alexandria database).

Results
Energy above the most stable polymorph in this dataset ... 0.00 eV per formula unit
Density of states at the Fermi level ... 4.69 states/eV/cell
Size of the total moment ... 0.000 μB/cell

Cell: 6.2646 6.2646 6.2646 Å, 90.00 90.00 90.00°
With the nearest neighbours (Å) after each atom.
Element x y z (fractional)
Sc  0.0000  0.5000  0.5000  10 Al 2.85-3.13, 4 Os 3.13
Sc  0.5000  0.0000  0.5000  10 Al 2.85-3.13, 4 Os 3.13
Sc  0.5000  0.5000  0.0000  10 Al 2.85-3.13, 4 Os 3.13
Al  0.5000  0.5000  0.5000  8 Al 3.07, 6 Sc 3.13
Al  0.2169  0.2169  0.2169  3 Os 2.62, 3 Al 2.72, 3 Sc 2.85
Al  0.7831  0.7831  0.2169  3 Os 2.62, 3 Al 2.72, 3 Sc 2.85
Al  0.7831  0.2169  0.7831  3 Os 2.62, 3 Al 2.72, 3 Sc 2.85
Al  0.2169  0.7831  0.7831  3 Os 2.62, 3 Al 2.72, 3 Sc 2.85
Al  0.2169  0.2169  0.7831  3 Os 2.62, 3 Al 2.72, 3 Sc 2.85
Al  0.7831  0.7831  0.7831  3 Os 2.62, 3 Al 2.72, 3 Sc 2.85
Al  0.2169  0.7831  0.2169  3 Os 2.62, 3 Al 2.72, 3 Sc 2.85
Al  0.7831  0.2169  0.2169  3 Os 2.62, 3 Al 2.72, 3 Sc 2.85
Os  0.5000  0.0000  0.0000  8 Al 2.62
Os  0.0000  0.5000  0.0000  8 Al 2.62
Os  0.0000  0.0000  0.5000  8 Al 2.62

=====

Entry 4:
# ScAlOs2

Crystalline ScAlOs2 at its relaxed geometry (PBE-GGA, the Alexandria database).

Results
Density of states at the Fermi level ... 3.97 states/eV/cell
Size of the total moment ... 0.000 μB/cell

Cell: 3.1322 3.1322 6.2380 Å, 90.00 90.00 90.00°
With the nearest neighbours (Å) after each atom.
Element x y z (fractional)
Sc  0.5000  0.5000  0.2500  8 Os 2.79, 2 Al 3.12
Os  0.0000  0.0000  0.9773  4 Al 2.63, 4 Sc 2.79, 1 Os 2.84
Os  0.0000  0.0000  0.5227  4 Al 2.63, 4 Sc 2.79, 1 Os 2.84
Al  0.5000  0.5000  0.7500  8 Os 2.63

=====

Entry 5:
# ScAlOs2

Crystalline ScAlOs2 at its relaxed geometry (PBE-GGA, the Alexandria database).

Results
Density of states at the Fermi level ... 1.13 states/eV/cell
Size of the total moment ... 0.000 μB/cell

Cell: 2.8491 2.8491 7.9601 Å, 90.00 90.00 90.01°
With the nearest neighbours (Å) after each atom.
Element x y z (fractional)
Sc  0.0000  0.0000  0.4866  4 Sc 2.85, 4 Os 2.93, 4 Al 3.11
Os  0.0000  0.0000  0.0086  8 Os 2.63-2.85, 4 Al 2.69
Os  0.5000  0.5000  0.2201  8 Os 2.63-2.85, 4 Sc 2.93
Al  0.5000  0.5000  0.7847  4 Os 2.69, 4 Al 2.85

=====

Entry 6:
# Sc2AlOs

Crystalline Sc2AlOs at its relaxed geometry (PBE-GGA, the Alexandria database).

Results
Density of states at the Fermi level ... 2.43 states/eV/cell
Size of the total moment ... 0.000 μB/cell

Cell: 10.0359 10.0359 10.0359 Å, 17.75 17.75 17.75°
With the nearest neighbours (Å) after each atom.
Element x y z (fractional)
Sc  0.9009  0.9009  0.9009  3 Os 2.68, 1 Al 2.94
Sc  0.0991  0.0991  0.0991  3 Os 2.68, 1 Al 2.94
Os  0.5000  0.5000  0.5000  6 Sc 2.68
Al  0.0000  0.0000  0.0000  2 Sc 2.94, 6 Al 3.10

=====

Entry 7:
# ScAl2Os2

Crystalline ScAl2Os2 at its relaxed geometry (PBE-GGA, the Alexandria database).

Results
Energy above the most stable polymorph in this dataset ... 1.13 eV per formula unit
Density of states at the Fermi level ... 4.18 states/eV/cell
Size of the total moment ... 0.000 μB/cell

Cell: 3.9835 3.9835 6.1836 Å, 71.21 71.21 90.00°
With the nearest neighbours (Å) after each atom.
Element x y z (fractional)
Sc  0.0000  0.0000  0.0000  8 Os 3.06, 8 Al 3.40
Os  0.3906  0.3906  0.2189  1 Os 2.41, 4 Al 2.52
Os  0.6094  0.6094  0.7811  1 Os 2.41, 4 Al 2.52
Al  0.7500  0.2500  0.5000  4 Os 2.52, 4 Al 2.82
Al  0.2500  0.7500  0.5000  4 Os 2.52, 4 Al 2.82

=====

Entry 8:
# Sc3AlOs2

Crystalline Sc3AlOs2 at its relaxed geometry (PBE-GGA, the Alexandria database).

Results
Density of states at the Fermi level ... 2.48 states/eV/cell
Size of the total moment ... 0.000 μB/cell

Cell: 3.2926 3.2926 9.7198 Å, 90.00 90.00 90.00°
With the nearest neighbours (Å) after each atom.
Element x y z (fractional)
Sc  0.0000  0.0000  0.0000  8 Os 2.84, 2 Sc 3.06
Sc  0.0000  0.0000  0.6849  4 Os 2.73, 4 Al 2.94
Sc  0.0000  0.0000  0.3151  4 Os 2.73, 4 Al 2.94
Al  0.5000  0.5000  0.5000  8 Sc 2.94, 2 Os 3.23, 4 Al 3.29
Os  0.5000  0.5000  0.8322  8 Sc 2.73-2.84
Os  0.5000  0.5000  0.1678  8 Sc 2.73-2.84

=====

no.,formation energy from the elements (eV per atom)
1,0.03
2,0.40
3,-0.59
4,-0.32
5,-0.28
6,0.14
7,-0.19
8,-0.47